(1)
Computed, not measured: a geometry-optimized CaI3N structure at the GGA-PBE level of DFT.

As for the density of states at the Fermi level: 0.984 states/eV/f.u. The calculation puts the formation energy from raw total energies at 0.13 eV/atom. The value obtained for the raw total energy is -14.35 eV for the cell shown.

It has space group Pm-3m (No. 221), with a = 5.165 Å, b = 5.165 Å, c = 5.165 Å, α = 90.00°, β = 90.00° and γ = 90.00°. The distinct sites, in fractional coordinates, are Ca at (0.000, 0.000, 0.000), I at (0.000, 0.500, 0.500) and N at (0.500, 0.500, 0.500).

=====

(2)
Computed, not measured: a geometry-optimized HgSeCl2 structure at the GGA-PBE level of DFT.

As for the density of states at the Fermi level: 4.414 states/eV/f.u. The calculation puts the formation energy from raw total energies at 0.38 eV/atom. The value obtained for the raw total energy is -5.97 eV for the cell shown.

It has space group P4/mmm (No. 123), with a = 5.239 Å, b = 5.239 Å, c = 3.278 Å, α = 90.00°, β = 90.00° and γ = 90.00°. The distinct sites, in fractional coordinates, are Hg at (0.000, 0.000, 0.000), Se at (0.500, 0.500, 0.000) and Cl at (0.000, 0.500, 0.500).